LiFeF4: relaxed, PBE+U.

Summary:
**SG**: Cmmm
**M_tot**: 5.0 μB per cell
**Relative energy among the computed polymorphs**: 0.0159 eV/atom
**E**: -5.134 eV/atom

Cell lengths 4.7138, 4.7138, 3.0870 Å; angles 90.00, 90.00, 93.19 degrees
Last column: nearest neighbours and their distance in Å.
Fractional coordinates of all 6 atoms:
F: 0.3120 0.6880 0.5000  2 Fe 2.01, 1 Li 2.14
F: 0.6880 0.3120 0.5000  2 Fe 2.01, 1 Li 2.14
F: 0.2067 0.2067 0.0000  1 Fe 1.90, 2 Li 2.04
F: 0.7933 0.7933 0.0000  1 Fe 1.90, 2 Li 2.04
Li: 0.0000 0.0000 0.5000  6 F 2.04-2.14
Fe: 0.5000 0.5000 0.0000  6 F 1.90-2.01